The following is a PBE calculation of a relaxed structure of KLaBr2, from Alexandria.

For the energy above the most stable polymorph in this dataset, the calculation gives 0.176 eV/atom. As for the density of states at the Fermi level: 2.394 states/eV per cell. The value obtained for the raw formation energy is -1.253 eV per atom. As for the total energy: -14.4 eV/cell.

It has space group Pm (No. 6), with a = 3.8787 Å, b = 6.0220 Å, c = 6.1282 Å, α = 90.00°, β = 108.27° and γ = 90.00°. The inequivalent atoms are K at (0.0000, 0.0000, 0.0000), La at (0.7174, 0.5000, 0.4393), Br at (0.4472, 0.5000, 0.8974) and Br at (0.7209, 0.0000, 0.4475).



The following is a PBE calculation of a relaxed structure of SbIr2Pt2, from Alexandria.

As for the density of states at the Fermi level: 15.053 states/eV per cell. The value obtained for the raw formation energy is 0.188 eV per atom. As for the total energy: -66.0 eV/cell.

It has space group P4/mbm (No. 127), with a = 6.8214 Å, b = 6.8214 Å, c = 3.7307 Å, α = 90.00°, β = 90.00° and γ = 90.00°. The inequivalent atoms are Sb at (0.0000, 0.0000, 0.0000), Ir at (0.1348, 0.3652, 0.0000) and Pt at (0.1580, 0.6580, 0.5000).



The following is a PBE calculation of a relaxed structure of RbBaCu2Br6, from Alexandria.

As for the density of states at the Fermi level: 17.054 states/eV per cell. The value obtained for the raw formation energy is -1.130 eV per atom. As for the total energy: -129.7 eV/cell.

It has space group C2/c (No. 15), with a = 10.9332 Å, b = 15.3320 Å, c = 10.0611 Å, α = 90.00°, β = 107.56° and γ = 90.00°. The inequivalent atoms are Rb at (0.0000, 0.1152, 0.2500), Ba at (0.0000, 0.4439, 0.7500), Cu at (0.2453, 0.3564, 0.2748), Br at (0.0570, 0.3802, 0.0821), Br at (0.1939, 0.0153, 0.5982) and Br at (0.1989, 0.2894, 0.7017).



The following is a PBE calculation of a relaxed structure of RbIF4, from Alexandria.

As for the density of states at the Fermi level: 0.000 states/eV per cell. The value obtained for the raw formation energy is -1.950 eV per atom. As for the total energy: -86.8 eV/cell.

It has space group C2/c (No. 15), with a = 12.8080 Å, b = 5.1395 Å, c = 8.8687 Å, α = 90.00°, β = 107.84° and γ = 90.00°. The inequivalent atoms are Rb at (0.0000, 0.2324, 0.2500), I at (0.2500, 0.2500, 0.0000), F at (0.0833, 0.2163, 0.9682) and F at (0.2159, 0.4368, 0.3511).



The following is a PBE calculation of a relaxed structure of GeTeOs, from Alexandria.

As for the density of states at the Fermi level: 4.325 states/eV per cell. The value obtained for the raw formation energy is 0.147 eV per atom. As for the total energy: -74.2 eV/cell.

It has space group Cm (No. 8), with a = 8.9444 Å, b = 3.1786 Å, c = 10.0359 Å, α = 90.00°, β = 111.99° and γ = 90.00°. The inequivalent atoms are Ge at (0.0000, 0.0000, 0.0000), Ge at (0.2067, 0.0000, 0.8165), Te at (0.2835, 0.5000, 0.5477), Te at (0.4038, 0.5000, 0.2939), Os at (0.2236, 0.5000, 0.0186) and Os at (0.4565, 0.0000, 0.7544).



The following is a PBE calculation of a relaxed structure of ZrAg2IrRh, from Alexandria.

As for the density of states at the Fermi level: 3.140 states/eV per cell. For the energy relative to the elements, the calculation gives 1.1095 eV per atom. As for the total energy: -24.9 eV/cell.

It has space group P4/mmm (No. 123), with a = 4.8883 Å, b = 4.8883 Å, c = 4.7255 Å, α = 90.00°, β = 90.00° and γ = 90.00°. The inequivalent atoms are Zr at (0.0000, 0.0000, 0.0000), Ag at (0.0000, 0.5000, 0.5000), Ir at (0.5000, 0.5000, 0.0000) and Rh at (0.0000, 0.0000, 0.5000).



The following is a PBE calculation of a relaxed structure of Ca3HoTl12, from Alexandria.

As for the density of states at the Fermi level: 9.183 states/eV per cell. For the energy relative to the elements, the calculation gives -0.2249 eV per atom. As for the total energy: -42.6 eV/cell.

It has space group P4/mmm (No. 123), with a = 4.8645 Å, b = 4.8645 Å, c = 19.1243 Å, α = 90.00°, β = 90.00° and γ = 90.00°. The inequivalent atoms are Ca at (0.0000, 0.0000, 0.0000), Ca at (0.0000, 0.0000, 0.2539), Ho at (0.0000, 0.0000, 0.5000), Tl at (0.0000, 0.5000, 0.1262), Tl at (0.0000, 0.5000, 0.3782), Tl at (0.5000, 0.5000, 0.0000), Tl at (0.5000, 0.5000, 0.2515) and Tl at (0.5000, 0.5000, 0.5000).



The following is a PBE calculation of a relaxed structure of Ho8BiSb2, from Alexandria.

As for the density of states at the Fermi level: 27.936 states/eV per cell. The value obtained for the raw formation energy is -0.462 eV per atom. As for the total energy: -107.7 eV/cell.

It has space group C2/m (No. 12), with a = 18.3154 Å, b = 4.5557 Å, c = 7.8530 Å, α = 90.00°, β = 91.20° and γ = 90.00°. The inequivalent atoms are Ho at (0.0079, 0.0000, 0.2635), Ho at (0.0972, 0.5000, 0.5263), Ho at (0.1692, 0.5000, 0.0394), Ho at (0.2152, 0.0000, 0.3611), Bi at (0.0000, 0.5000, 0.0000) and Sb at (0.1725, 0.0000, 0.7619).



The following is a PBE calculation of a relaxed structure of As3PtCl, from Alexandria.

For the energy above the most stable polymorph in this dataset, the calculation gives 0.000 eV/atom. As for the density of states at the Fermi level: 8.487 states/eV per cell. The value obtained for the raw formation energy is 0.608 eV per atom. As for the total energy: -18.8 eV/cell.

It has space group Pm-3m (No. 221), with a = 4.9754 Å, b = 4.9754 Å, c = 4.9754 Å, α = 90.00°, β = 90.00° and γ = 90.00°. The inequivalent atoms are As at (0.0000, 0.0000, 0.5000), Pt at (0.0000, 0.0000, 0.0000) and Cl at (0.5000, 0.5000, 0.5000).



The following is a PBE calculation of a relaxed structure of Li5Sn3O8, from Alexandria.

As for the density of states at the Fermi level: 5.417 states/eV per cell. The value obtained for the raw formation energy is -1.722 eV per atom. As for the total energy: -266.4 eV/cell.

It has space group R-3m (No. 166, hexagonal axes), with a = 6.3347 Å, b = 6.3347 Å, c = 15.1533 Å, α = 90.00°, β = 90.00° and γ = 120.00°. The inequivalent atoms are Li at (0.0000, 0.0000, 0.0000), Li at (0.0000, 0.0000, 0.5000), Li at (0.0000, 0.5000, 0.0000), Sn at (0.0000, 0.5000, 0.5000), O at (0.0000, 0.0000, 0.2487) and O at (0.0151, 0.5076, 0.7567).



The following is a PBE calculation of a relaxed structure of RuPt7Rh4, from Alexandria.

For the energy above the most stable polymorph in this dataset, the calculation gives 0.000 eV/atom. As for the density of states at the Fermi level: 20.910 states/eV per cell. For the energy relative to the elements, the calculation gives 0.0024 eV per atom. As for the total energy: -80.9 eV/cell.

It has space group P-3m1 (No. 164), with a = 2.7738 Å, b = 2.7738 Å, c = 27.0659 Å, α = 90.00°, β = 90.00° and γ = 120.00°. The inequivalent atoms are Ru at (0.0000, 0.0000, 0.0000), Pt at (0.0000, 0.0000, 0.2480), Pt at (0.0000, 0.0000, 0.5000), Pt at (0.3333, 0.6667, 0.6654), Pt at (0.3333, 0.6667, 0.9186), Rh at (0.3333, 0.6667, 0.1650) and Rh at (0.3333, 0.6667, 0.4174).



The following is a PBE calculation of a relaxed structure of CeSm2Y3S6, from Alexandria.

As for the density of states at the Fermi level: 19.772 states/eV per cell. The value obtained for the raw formation energy is -2.019 eV per atom. As for the total energy: -167.5 eV/cell.

It has space group C2/m (No. 12), with a = 17.3133 Å, b = 3.9471 Å, c = 7.9805 Å, α = 90.00°, β = 103.70° and γ = 90.00°. The inequivalent atoms are Ce at (0.0000, 0.0000, 0.0000), Sm at (0.1656, 0.5000, 0.3308), Y at (0.0000, 0.0000, 0.5000), Y at (0.1665, 0.5000, 0.8348), S at (0.0021, 0.5000, 0.7435), S at (0.1654, 0.0000, 0.5883) and S at (0.1694, 0.0000, 0.0788).